A relaxed RbIn3O crystal, computed with PBE.

Lattice parameters (Å, degrees): 6.5138 6.5138 6.5138 90.00 90.00 90.00
Closest atoms and distances in Å follow each position.
Fractional positions:
Rb  0.0000  0.0000  0.0000  6 In 3.26
In  0.0000  0.0000  0.5000  2 Rb 3.26
In  0.0000  0.5000  0.0000  2 Rb 3.26
In  0.5000  0.0000  0.0000  2 Rb 3.26
O  0.5000  0.5000  0.5000  12 In 4.61

Calculated values
SG ... Pm-3m (221)
Energy relative to the elements, uncorrected ... 6.53 eV per formula unit
Mass density ... 2.68 g cm⁻³
Density of states at the Fermi level ... 4.4 states/eV/cell
M_tot ... 0.0 μB/f.u.



A relaxed Pm2SiIr3 crystal, computed with PBE.

Lattice parameters (Å, degrees): 5.1589 5.1589 5.1589 66.05 66.05 66.05
Closest atoms and distances in Å follow each position.
Fractional positions:
Pm  0.1246  0.1246  0.1246  9 Ir 2.99-3.19, 1 Pm 3.00, 3 Si 3.29
Pm  0.8754  0.8754  0.8754  9 Ir 2.99-3.19, 1 Pm 3.00, 3 Si 3.29
Si  0.5000  0.5000  0.5000  6 Ir 2.58
Ir  0.0000  0.5000  0.5000  2 Si 2.58, 4 Ir 2.81
Ir  0.5000  0.0000  0.5000  2 Si 2.58, 4 Ir 2.81
Ir  0.5000  0.5000  0.0000  2 Si 2.58, 4 Ir 2.81

Calculated values
SG ... R-3m (166)
Energy relative to the elements, uncorrected ... -5.04 eV per formula unit
Mass density ... 13.53 g cm⁻³
Density of states at the Fermi level ... 2.9 states/eV/cell
M_tot ... 0.0 μB/f.u.



A relaxed La5Ho2Sc2 crystal, computed with PBE.

Lattice parameters (Å, degrees): 10.1732 10.1732 8.6557 102.71 102.71 19.78
Closest atoms and distances in Å follow each position.
Fractional positions:
La  0.0000  0.0000  0.0000  2 Ho 3.37, 6 La 3.49-3.71, 4 Sc 3.64
La  0.2181  0.2181  0.6452  1 Ho 3.30, 5 La 3.49-3.53, 2 Sc 3.60
La  0.3375  0.3375  0.0107  9 La 3.49-3.89, 2 Ho 3.62, 1 Sc 3.68
La  0.6625  0.6625  0.9893  9 La 3.49-3.89, 2 Ho 3.62, 1 Sc 3.68
La  0.7819  0.7819  0.3548  1 Ho 3.30, 5 La 3.49-3.53, 2 Sc 3.60
Ho  0.0548  0.0548  0.6594  3 Ho 3.12-3.49, 2 La 3.30-3.37, 4 Sc 3.43-3.44
Ho  0.9452  0.9452  0.3406  3 Ho 3.12-3.49, 2 La 3.30-3.37, 4 Sc 3.43-3.44
Sc  0.4060  0.4060  0.6497  4 Ho 3.43-3.44, 2 Sc 3.49, 6 La 3.60-3.76
Sc  0.5940  0.5940  0.3503  4 Ho 3.43-3.44, 2 Sc 3.49, 6 La 3.60-3.76

Calculated values
SG ... C2/m (12)
Mass density ... 6.26 g cm⁻³
Raw total energy ... -5.0553 eV per atom
Density of states at the Fermi level ... 15.3 states/eV/cell
M_tot ... 0.0 μB/f.u.